(1)
# Cd7InHg5 GGA-PBE relaxed
data_Cd7InHg5
_chemical_formula_sum 'Cd28 In4 Hg20'
_cell_length_a 17.320
_cell_length_b 3.385
_cell_length_c 22.054
_cell_angle_alpha 90.00
_cell_angle_beta 97.33
_cell_angle_gamma 90.00
_space_group_name_H-M_alt 'C 1 m 1'
_space_group_IT_number 8
_space_group_name_Hall 'C -2y'
loop_
_atom_site_label
_atom_site_type_symbol
_atom_site_fract_x
_atom_site_fract_y
_atom_site_fract_z
Cd1 Cd 0.000 0.000 0.000
Cd2 Cd 0.000 0.500 0.335
Cd3 Cd 0.009 0.500 0.680
Cd4 Cd 0.033 0.000 0.220
Cd5 Cd 0.185 0.500 0.681
Cd6 Cd 0.215 0.500 0.231
Cd7 Cd 0.236 0.000 0.118
Cd8 Cd 0.260 0.500 0.559
Cd9 Cd 0.262 0.500 0.009
Cd10 Cd 0.268 0.000 0.798
Cd11 Cd 0.288 0.000 0.444
Cd12 Cd 0.428 0.500 0.774
Cd13 Cd 0.463 0.500 0.447
Cd14 Cd 0.493 0.000 0.884
In1 In 0.082 0.500 0.110
In2 In 0.088 0.000 0.573
Hg1 Hg 0.116 0.500 0.800
Hg2 Hg 0.125 0.500 0.453
Hg3 Hg 0.147 0.000 0.928
Hg4 Hg 0.159 0.000 0.333
Hg5 Hg 0.333 0.000 0.672
Hg6 Hg 0.340 0.500 0.339
Hg7 Hg 0.344 0.500 0.903
Hg8 Hg 0.377 0.000 0.217
Hg9 Hg 0.400 0.000 0.080
Hg10 Hg 0.419 0.000 0.554
# **Calculated formation energy**: 22 meV per atom
# **Final energy**: -0.7970 eV/atom
# **ρ**: 9.87 g/cm3
# **Spin magnetization**: 0.00 μB per formula unit

(2)
# Cd2In7Hg GGA-PBE relaxed
data_Cd2In7Hg
_chemical_formula_sum 'Cd8 In28 Hg4'
_cell_length_a 15.800
_cell_length_b 6.713
_cell_length_c 11.151
_cell_angle_alpha 90.00
_cell_angle_beta 118.31
_cell_angle_gamma 90.00
_space_group_name_H-M_alt 'C 1 2/c 1'
_space_group_IT_number 15
_space_group_name_Hall '-C 2yc'
loop_
_atom_site_label
_atom_site_type_symbol
_atom_site_fract_x
_atom_site_fract_y
_atom_site_fract_z
Cd1 Cd 0.199 0.124 0.351
In1 In 0.000 0.125 0.750
In2 In 0.100 0.375 0.054
In3 In 0.103 0.127 0.551
In4 In 0.199 0.380 0.851
Hg1 Hg 0.000 0.370 0.250
# **Calculated formation energy**: 24 meV per atom
# **Final energy**: -2.1056 eV/atom
# **ρ**: 7.84 g/cm3
# **Spin magnetization**: 0.00 μB per formula unit

(3)
# Cd3InHg6 GGA-PBE relaxed
data_Cd3InHg6
_chemical_formula_sum 'Cd3 In1 Hg6'
_cell_length_a 3.6700
_cell_length_b 3.6700
_cell_length_c 22.1365
_cell_angle_alpha 90.00
_cell_angle_beta 90.00
_cell_angle_gamma 120.00
_space_group_name_H-M_alt 'P -3 m 1'
_space_group_IT_number 164
_space_group_name_Hall '-P 3 2"'
loop_
_atom_site_label
_atom_site_type_symbol
_atom_site_fract_x
_atom_site_fract_y
_atom_site_fract_z
Cd1 Cd 0.0000 0.0000 0.0000
Cd2 Cd 0.0000 0.0000 0.2986
In1 In 0.0000 0.0000 0.5000
Hg1 Hg 0.3333 0.6667 0.0991
Hg2 Hg 0.3333 0.6667 0.3965
Hg3 Hg 0.3333 0.6667 0.7993
# **Calculated formation energy**: 14 meV per atom
# **Final energy**: -0.7158 eV/atom
# **ρ**: 10.65 g/cm3
# **Spin magnetization**: 0.00 μB per formula unit
# **Relative energy among the computed polymorphs**: 0 meV/atom

(4)
# Cd2In5Hg GGA-PBE relaxed
data_Cd2In5Hg
_chemical_formula_sum 'Cd4 In10 Hg2'
_cell_length_a 11.319
_cell_length_b 6.735
_cell_length_c 6.759
_cell_angle_alpha 90.00
_cell_angle_beta 126.46
_cell_angle_gamma 90.00
_space_group_name_H-M_alt 'C 1 m 1'
_space_group_IT_number 8
_space_group_name_Hall 'C -2y'
loop_
_atom_site_label
_atom_site_type_symbol
_atom_site_fract_x
_atom_site_fract_y
_atom_site_fract_z
Cd1 Cd 0.000 0.000 0.000
Cd2 Cd 0.001 0.500 0.518
In1 In 0.000 0.000 0.525
In2 In 0.238 0.251 0.496
In3 In 0.263 0.249 0.020
Hg1 Hg 0.001 0.500 0.988
# **Calculated formation energy**: 31 meV per atom
# **Final energy**: -1.9475 eV/atom
# **ρ**: 8.01 g/cm3
# **Spin magnetization**: 0.00 μB per formula unit
# **Relative energy among the computed polymorphs**: 12 meV/atom

> Look up the final energy of the second one.

-2.1056 eV/atom

Copy entry 1 word for word.
# Cd7InHg5 GGA-PBE relaxed
data_Cd7InHg5
_chemical_formula_sum 'Cd28 In4 Hg20'
_cell_length_a 17.320
_cell_length_b 3.385
_cell_length_c 22.054
_cell_angle_alpha 90.00
_cell_angle_beta 97.33
_cell_angle_gamma 90.00
_space_group_name_H-M_alt 'C 1 m 1'
_space_group_IT_number 8
_space_group_name_Hall 'C -2y'
loop_
_atom_site_label
_atom_site_type_symbol
_atom_site_fract_x
_atom_site_fract_y
_atom_site_fract_z
Cd1 Cd 0.000 0.000 0.000
Cd2 Cd 0.000 0.500 0.335
Cd3 Cd 0.009 0.500 0.680
Cd4 Cd 0.033 0.000 0.220
Cd5 Cd 0.185 0.500 0.681
Cd6 Cd 0.215 0.500 0.231
Cd7 Cd 0.236 0.000 0.118
Cd8 Cd 0.260 0.500 0.559
Cd9 Cd 0.262 0.500 0.009
Cd10 Cd 0.268 0.000 0.798
Cd11 Cd 0.288 0.000 0.444
Cd12 Cd 0.428 0.500 0.774
Cd13 Cd 0.463 0.500 0.447
Cd14 Cd 0.493 0.000 0.884
In1 In 0.082 0.500 0.110
In2 In 0.088 0.000 0.573
Hg1 Hg 0.116 0.500 0.800
Hg2 Hg 0.125 0.500 0.453
Hg3 Hg 0.147 0.000 0.928
Hg4 Hg 0.159 0.000 0.333
Hg5 Hg 0.333 0.000 0.672
Hg6 Hg 0.340 0.500 0.339
Hg7 Hg 0.344 0.500 0.903
Hg8 Hg 0.377 0.000 0.217
Hg9 Hg 0.400 0.000 0.080
Hg10 Hg 0.419 0.000 0.554
# **Calculated formation energy**: 22 meV per atom
# **Final energy**: -0.7970 eV/atom
# **ρ**: 9.87 g/cm3
# **Spin magnetization**: 0.00 μB per formula unit

What did the second record say?
# Cd2In7Hg GGA-PBE relaxed
data_Cd2In7Hg
_chemical_formula_sum 'Cd8 In28 Hg4'
_cell_length_a 15.800
_cell_length_b 6.713
_cell_length_c 11.151
_cell_angle_alpha 90.00
_cell_angle_beta 118.31
_cell_angle_gamma 90.00
_space_group_name_H-M_alt 'C 1 2/c 1'
_space_group_IT_number 15
_space_group_name_Hall '-C 2yc'
loop_
_atom_site_label
_atom_site_type_symbol
_atom_site_fract_x
_atom_site_fract_y
_atom_site_fract_z
Cd1 Cd 0.199 0.124 0.351
In1 In 0.000 0.125 0.750
In2 In 0.100 0.375 0.054
In3 In 0.103 0.127 0.551
In4 In 0.199 0.380 0.851
Hg1 Hg 0.000 0.370 0.250
# **Calculated formation energy**: 24 meV per atom
# **Final energy**: -2.1056 eV/atom
# **ρ**: 7.84 g/cm3
# **Spin magnetization**: 0.00 μB per formula unit

> The highest calculated formation energy belongs to which entry?

Cd2In5Hg